[1]
BaSr2S | GGA-PBE | optimized geometry

Geometry as POSCAR:
```
BaSr2S
1.0
2.094 1.209 11.408
-2.094 1.209 11.408
0.000 -2.417 11.408
Ba Sr S
1 2 1
Direct
0.000 0.000 0.000 Ba
0.114 0.114 0.114 Sr
0.886 0.886 0.886 Sr
0.500 0.500 0.500 S
```

Raw formation energy = -0.91 eV/atom
ρ = 3.30 Mg/m³
Final energy = -13.1 eV/cell
Space-group type = R-3m
Calculated volume = 43.302 Å³ per atom

***

[2]
Ba2SrS | GGA-PBE | optimized geometry

Geometry as POSCAR:
```
Ba2SrS
1.0
-5.759 5.759 2.944
5.759 -5.759 2.944
5.759 5.759 -2.944
Ba Sr S
4 2 2
Direct
0.375 0.231 0.356 Ba
0.769 0.125 0.144 Ba
0.875 0.019 0.644 Ba
0.981 0.625 0.856 Ba
0.250 0.750 0.500 Sr
0.500 0.500 0.000 Sr
0.000 0.000 0.000 S
0.750 0.250 0.500 S
```

Raw formation energy = -0.81 eV/atom
ρ = 3.35 Mg/m³
Final energy = -25.8 eV/cell
Space-group type = I-42d
Calculated volume = 48.817 Å³ per atom

***

[3]
Ba5SrS6 | GGA-PBE | optimized geometry

Geometry as POSCAR:
```
Ba5SrS6
1.0
3.918 -6.785 0.000
3.918 6.785 0.000
-2.613 0.000 7.381
Ba Sr S
5 1 6
Direct
0.000 0.000 0.000 Ba
0.167 0.833 0.500 Ba
0.333 0.667 0.000 Ba
0.667 0.333 0.000 Ba
0.833 0.167 0.500 Ba
0.500 0.500 0.500 Sr
0.094 0.418 0.255 S
0.257 0.257 0.745 S
0.418 0.094 0.255 S
0.582 0.906 0.745 S
0.743 0.743 0.255 S
0.906 0.582 0.745 S
```

Raw formation energy = -2.08 eV/atom
ρ = 4.09 Mg/m³
Final energy = -61.1 eV/cell
Space-group type = C2/m
Calculated volume = 32.704 Å³ per atom

***

[4]
BaSr5S6 | GGA-PBE | optimized geometry

Geometry as POSCAR:
```
BaSr5S6
1.0
3.757 -6.506 0.000
3.757 6.506 0.000
-2.507 0.000 7.079
Ba Sr S
1 5 6
Direct
0.000 0.000 0.000 Ba
0.166 0.834 0.500 Sr
0.333 0.667 0.000 Sr
0.500 0.500 0.500 Sr
0.667 0.333 0.000 Sr
0.834 0.166 0.500 Sr
0.085 0.427 0.254 S
0.257 0.257 0.744 S
0.427 0.085 0.254 S
0.573 0.915 0.746 S
0.743 0.743 0.256 S
0.915 0.573 0.746 S
```

Raw formation energy = -2.13 eV/atom
ρ = 3.68 Mg/m³
Final energy = -60.6 eV/cell
Space-group type = C2/m
Calculated volume = 28.835 Å³ per atom

***

[5]
Ba2SrS2 | GGA-PBE | optimized geometry

Geometry as POSCAR:
```
Ba2SrS2
1.0
8.452 0.000 0.000
0.000 8.452 0.000
0.000 0.000 4.530
Ba Sr S
4 2 4
Direct
0.154 0.346 0.000 Ba
0.346 0.846 0.000 Ba
0.654 0.154 0.000 Ba
0.846 0.654 0.000 Ba
0.000 0.000 0.500 Sr
0.500 0.500 0.500 Sr
0.160 0.660 0.500 S
0.340 0.160 0.500 S
0.660 0.840 0.500 S
0.840 0.340 0.500 S
```

Raw formation energy = -1.51 eV/atom
ρ = 4.38 Mg/m³
Final energy = -42.7 eV/cell
Space-group type = P4/mbm
Calculated volume = 32.356 Å³ per atom

***

[6]
BaSr2S | GGA-PBE | optimized geometry

Geometry as POSCAR:
```
BaSr2S
1.0
-5.288 5.288 3.211
5.288 -5.288 3.211
5.288 5.288 -3.211
Ba Sr S
2 4 2
Direct
0.000 0.000 0.000 Ba
0.750 0.250 0.500 Ba
0.254 0.125 0.629 Sr
0.375 0.746 0.871 Sr
0.496 0.625 0.371 Sr
0.875 0.504 0.129 Sr
0.250 0.750 0.500 S
0.500 0.500 0.000 S
```

Raw formation energy = -0.77 eV/atom
ρ = 3.19 Mg/m³
Final energy = -25.0 eV/cell
Space-group type = I-42d
Calculated volume = 44.897 Å³ per atom

***

[7]
Ba2SrTbS4 | GGA-PBE | optimized geometry

Geometry as POSCAR:
```
Ba2SrTbS4
1.0
7.422 0.000 0.000
0.000 4.263 0.000
-2.447 0.000 7.151
Ba Sr Tb S
2 1 1 4
Direct
0.000 0.000 0.000 Ba
0.500 0.500 0.000 Ba
0.000 0.500 0.500 Sr
0.500 0.000 0.500 Tb
0.256 0.000 0.722 S
0.274 0.500 0.284 S
0.726 0.500 0.716 S
0.744 0.000 0.278 S
```

Raw formation energy = -2.04 eV/atom
ρ = 4.77 Mg/m³
Final energy = -43.0 eV/cell
Space-group type = P2/m
Calculated volume = 28.284 Å³ per atom

***

[8]
BaSrTeS | GGA-PBE | optimized geometry

Geometry as POSCAR:
```
BaSrTeS
1.0
2.318 1.338 7.656
-2.318 1.338 7.656
0.000 -2.677 7.656
Ba Sr Te S
1 1 1 1
Direct
0.000 0.000 0.000 Ba
0.515 0.515 0.515 Sr
0.763 0.763 0.763 Te
0.254 0.254 0.254 S
```

Raw formation energy = -1.90 eV/atom
ρ = 4.48 Mg/m³
Final energy = -18.5 eV/cell
Space-group type = R3m
Calculated volume = 35.629 Å³ per atom

***

[9]
Ba2SrTe2S6 | GGA-PBE | optimized geometry

Geometry as POSCAR:
```
Ba2SrTe2S6
1.0
6.992 -3.816 0.000
6.992 3.816 0.000
-3.974 0.000 6.698
Ba Sr Te S
2 1 2 6
Direct
0.238 0.238 0.206 Ba
0.762 0.762 0.794 Ba
0.000 0.000 0.500 Sr
0.462 0.462 0.773 Te
0.538 0.538 0.227 Te
0.160 0.661 0.165 S
0.247 0.247 0.632 S
0.339 0.840 0.835 S
0.661 0.160 0.165 S
0.753 0.753 0.368 S
0.840 0.339 0.835 S
```

Raw formation energy = -0.98 eV/atom
ρ = 3.76 Mg/m³
Final energy = -47.3 eV/cell
Space-group type = C2/m
Calculated volume = 32.489 Å³ per atom

***

[10]
Ba2SrTlS | GGA-PBE | optimized geometry

Geometry as POSCAR:
```
Ba2SrTlS
1.0
6.166 0.000 0.000
0.000 6.166 0.000
0.000 0.000 5.681
Ba Sr Tl S
2 1 1 1
Direct
0.000 0.500 0.000 Ba
0.500 0.000 0.000 Ba
0.000 0.000 0.500 Sr
0.500 0.500 0.500 Tl
0.000 0.000 0.000 S
```

Raw formation energy = -0.88 eV/atom
ρ = 4.60 Mg/m³
Final energy = -16.4 eV/cell
Space-group type = P4/mmm
Calculated volume = 43.197 Å³ per atom

***

[11]
Ba2SrTmS4 | GGA-PBE | optimized geometry

Geometry as POSCAR:
```
Ba2SrTmS4
1.0
7.378 0.000 0.000
0.000 4.230 0.000
-2.421 0.000 7.137
Ba Sr Tm S
2 1 1 4
Direct
0.000 0.000 0.000 Ba
0.500 0.500 0.000 Ba
0.000 0.500 0.500 Sr
0.500 0.000 0.500 Tm
0.259 0.000 0.719 S
0.278 0.500 0.289 S
0.722 0.500 0.711 S
0.741 0.000 0.281 S
```

Raw formation energy = -2.02 eV/atom
ρ = 4.92 Mg/m³
Final energy = -42.7 eV/cell
Space-group type = P2/m
Calculated volume = 27.842 Å³ per atom

***

[12]
BaSrVS4 | GGA-PBE | optimized geometry

Geometry as POSCAR:
```
BaSrVS4
1.0
6.822 0.000 0.000
0.000 6.687 0.000
-2.723 0.000 8.263
Ba Sr V S
2 2 2 8
Direct
0.220 0.250 0.428 Ba
0.780 0.750 0.572 Ba
0.277 0.250 0.951 Sr
0.723 0.750 0.049 Sr
0.279 0.750 0.194 V
0.721 0.250 0.806 V
0.084 0.750 0.357 S
0.106 0.750 0.934 S
0.498 0.003 0.250 S
0.498 0.497 0.250 S
0.502 0.503 0.750 S
0.502 0.997 0.750 S
0.894 0.250 0.066 S
0.916 0.250 0.643 S
```

Raw formation energy = -1.57 eV/atom
ρ = 3.56 Mg/m³
Final energy = -80.5 eV/cell
Space-group type = P2_1/m
Calculated volume = 26.921 Å³ per atom

***

[13]
Ba2SrWS | GGA-PBE | optimized geometry

Geometry as POSCAR:
```
Ba2SrWS
1.0
6.930 0.000 0.000
0.000 6.930 0.000
0.000 0.000 5.245
Ba Sr W S
2 1 1 1
Direct
0.000 0.500 0.000 Ba
0.500 0.000 0.000 Ba
0.000 0.000 0.000 Sr
0.500 0.500 0.500 W
0.000 0.000 0.500 S
```

Raw formation energy = 1.14 eV/atom
ρ = 3.81 Mg/m³
Final energy = -16.9 eV/cell
Space-group type = P4/mmm
Calculated volume = 50.377 Å³ per atom

***

[14]
Ba2SrYS4 | GGA-PBE | optimized geometry

Geometry as POSCAR:
```
Ba2SrYS4
1.0
7.416 0.000 0.000
0.000 4.260 0.000
-2.442 0.000 7.147
Ba Sr Y S
2 1 1 4
Direct
0.000 0.000 0.000 Ba
0.500 0.500 0.000 Ba
0.000 0.500 0.500 Sr
0.500 0.000 0.500 Y
0.256 0.000 0.722 S
0.274 0.500 0.284 S
0.726 0.500 0.716 S
0.744 0.000 0.278 S
```

Raw formation energy = -2.04 eV/atom
ρ = 4.26 Mg/m³
Final energy = -44.8 eV/cell
Space-group type = P2/m
Calculated volume = 28.225 Å³ per atom

***

[15]
BaSrZrS4 | GGA-PBE | optimized geometry

Geometry as POSCAR:
```
BaSrZrS4
1.0
-2.494 2.494 7.755
2.494 -2.494 7.755
2.494 2.494 -7.755
Ba Sr Zr S
1 1 1 4
Direct
0.000 0.000 0.000 Ba
0.282 0.282 0.000 Sr
0.641 0.641 0.000 Zr
0.144 0.644 0.500 S
0.473 0.473 0.000 S
0.644 0.144 0.500 S
0.806 0.806 0.000 S
```

Raw formation energy = -1.83 eV/atom
ρ = 3.82 Mg/m³
Final energy = -41.5 eV/cell
Space-group type = I4mm
Calculated volume = 27.567 Å³ per atom

***

[16]
Ba2Ta4S | GGA-PBE | optimized geometry

Geometry as POSCAR:
```
Ba2Ta4S
1.0
-2.323 2.323 9.639
2.323 -2.323 9.639
2.323 2.323 -9.639
Ba Ta S
2 4 1
Direct
0.167 0.167 0.000 Ba
0.833 0.833 0.000 Ba
0.000 0.500 0.500 Ta
0.385 0.385 0.000 Ta
0.500 0.000 0.500 Ta
0.615 0.615 0.000 Ta
0.500 0.500 0.000 S
```

Raw formation energy = 0.90 eV/atom
ρ = 8.22 Mg/m³
Final energy = -49.1 eV/cell
Space-group type = I4/mmm
Calculated volume = 29.722 Å³ per atom

***

[17]
BaTa2S2 | GGA-PBE | optimized geometry

Geometry as POSCAR:
```
BaTa2S2
1.0
8.148 0.000 0.000
0.000 8.148 0.000
0.000 0.000 3.168
Ba Ta S
2 4 4
Direct
0.000 0.000 0.000 Ba
0.500 0.500 0.000 Ba
0.111 0.389 0.000 Ta
0.389 0.889 0.000 Ta
0.611 0.111 0.000 Ta
0.889 0.611 0.000 Ta
0.143 0.643 0.500 S
0.357 0.143 0.500 S
0.643 0.857 0.500 S
0.857 0.357 0.500 S
```

Raw formation energy = 0.12 eV/atom
ρ = 8.90 Mg/m³
Final energy = -66.6 eV/cell
Space-group type = P4/mbm
Calculated volume = 21.033 Å³ per atom
Distance to the lowest polymorph of the same formula = 53.10 kJ per mole of atoms

***

[18]
Ba2TaS4 | GGA-PBE | optimized geometry

Geometry as POSCAR:
```
Ba2TaS4
1.0
7.297 0.000 0.000
0.000 6.824 0.000
-2.691 0.000 8.355
Ba Ta S
4 2 8
Direct
0.220 0.250 0.431 Ba
0.270 0.250 0.945 Ba
0.730 0.750 0.055 Ba
0.780 0.750 0.569 Ba
0.273 0.750 0.202 Ta
0.727 0.250 0.798 Ta
0.082 0.750 0.372 S
0.105 0.750 0.931 S
0.494 0.003 0.262 S
0.494 0.497 0.262 S
0.506 0.503 0.738 S
0.506 0.997 0.738 S
0.895 0.250 0.069 S
0.918 0.250 0.628 S
```

Raw formation energy = -1.55 eV/atom
ρ = 4.66 Mg/m³
Final energy = -86.1 eV/cell
Space-group type = P2_1/m
Calculated volume = 29.717 Å³ per atom

***

[19]
BaTa2S7 | GGA-PBE | optimized geometry

Geometry as POSCAR:
```
BaTa2S7
1.0
3.783 -6.328 0.000
3.783 6.328 0.000
0.000 0.000 4.816
Ba Ta S
1 2 7
Direct
0.000 0.000 0.000 Ba
0.301 0.699 0.500 Ta
0.699 0.301 0.500 Ta
0.057 0.322 0.500 S
0.292 0.708 0.000 S
0.322 0.057 0.500 S
0.500 0.500 0.500 S
0.678 0.943 0.500 S
0.708 0.292 0.000 S
0.943 0.678 0.500 S
```

Raw formation energy = -0.86 eV/atom
ρ = 5.21 Mg/m³
Final energy = -63.1 eV/cell
Space-group type = Cmmm
Calculated volume = 23.060 Å³ per atom

***

[20]
BaTa2S | GGA-PBE | optimized geometry

Geometry as POSCAR:
```
BaTa2S
1.0
-2.471 2.471 9.014
2.471 -2.471 9.014
2.471 2.471 -9.014
Ba Ta S
2 4 2
Direct
0.000 0.000 0.000 Ba
0.750 0.250 0.500 Ba
0.324 0.625 0.199 Ta
0.375 0.574 0.699 Ta
0.426 0.125 0.801 Ta
0.875 0.676 0.301 Ta
0.250 0.750 0.500 S
0.500 0.500 0.000 S
```

Raw formation energy = 0.50 eV/atom
ρ = 8.01 Mg/m³
Final energy = -55.5 eV/cell
Space-group type = I-42d
Calculated volume = 27.524 Å³ per atom

***

[21]
BaTa2S2 | GGA-PBE | optimized geometry

Geometry as POSCAR:
```
BaTa2S2
1.0
-2.429 2.429 4.538
2.429 -2.429 4.538
2.429 2.429 -4.538
Ba Ta S
1 2 2
Direct
0.000 0.000 0.000 Ba
0.362 0.362 0.000 Ta
0.638 0.638 0.000 Ta
0.250 0.750 0.500 S
0.750 0.250 0.500 S
```

Raw formation energy = -0.43 eV/atom
ρ = 8.73 Mg/m³
Final energy = -36.1 eV/cell
Space-group type = I4/mmm
Calculated volume = 21.430 Å³ per atom
Distance to the lowest polymorph of the same formula = 0.00 kJ per mole of atoms

***

[22]
Ba3Ta2S7 | GGA-PBE | optimized geometry

Geometry as POSCAR:
```
Ba3Ta2S7
1.0
2.453 -12.753 0.000
2.453 12.753 0.000
0.000 0.000 4.801
Ba Ta S
3 2 7
Direct
0.000 0.000 0.000 Ba
0.180 0.820 0.000 Ba
0.820 0.180 0.000 Ba
0.402 0.598 0.500 Ta
0.598 0.402 0.500 Ta
0.094 0.906 0.500 S
0.305 0.695 0.500 S
0.403 0.597 0.000 S
0.500 0.500 0.500 S
0.597 0.403 0.000 S
0.695 0.305 0.500 S
0.906 0.094 0.500 S
```

Raw formation energy = -1.50 eV/atom
ρ = 5.52 Mg/m³
Final energy = -76.3 eV/cell
Space-group type = Cmmm
Calculated volume = 25.032 Å³ per atom

***

[23]
Ba2TaS | GGA-PBE | optimized geometry

Geometry as POSCAR:
```
Ba2TaS
1.0
-5.903 5.903 2.342
5.903 -5.903 2.342
5.903 5.903 -2.342
Ba Ta S
4 2 2
Direct
0.375 0.206 0.331 Ba
0.794 0.125 0.169 Ba
0.875 0.044 0.669 Ba
0.956 0.625 0.831 Ba
0.250 0.750 0.500 Ta
0.500 0.500 0.000 Ta
0.000 0.000 0.000 S
0.750 0.250 0.500 S
```

Raw formation energy = -0.06 eV/atom
ρ = 4.96 Mg/m³
Final energy = -40.2 eV/cell
Space-group type = I-42d
Calculated volume = 40.794 Å³ per atom

***

[24]
BaTaS4 | GGA-PBE | optimized geometry

Geometry as POSCAR:
```
BaTaS4
1.0
3.892 -6.553 0.000
3.892 6.553 0.000
-1.110 0.000 6.075
Ba Ta S
2 2 8
Direct
0.148 0.852 0.750 Ba
0.852 0.148 0.250 Ba
0.500 0.500 0.250 Ta
0.500 0.500 0.750 Ta
0.193 0.309 0.941 S
0.262 0.549 0.478 S
0.309 0.193 0.441 S
0.451 0.738 0.022 S
0.549 0.262 0.978 S
0.691 0.807 0.559 S
0.738 0.451 0.522 S
0.807 0.691 0.059 S
```

Raw formation energy = -1.10 eV/atom
ρ = 4.79 Mg/m³
Final energy = -73.7 eV/cell
Space-group type = C2/c
Calculated volume = 25.825 Å³ per atom
Distance to the lowest polymorph of the same formula = 0.00 kJ per mole of atoms